No. 1
Compound: CrCl2O
Source: Alexandria via LeMat-Bulk
Functional: GGA+U
Structure: relaxed

Calculated values
- total DFT energy (no corrections) (eV/atom) = -3.904
- Fermi-level density of states (states/eV/cell) = 2.58

Cell: 4.484 4.484 4.484 Å, 60.00 60.00 60.00°
Fractional positions:
Cl 0.750 0.750 0.750
Cr 0.500 0.500 0.500
Cl 0.250 0.250 0.250
O 0.000 0.000 0.000

No. 2
Compound: Cr2Cl3O
Source: Alexandria via LeMat-Bulk
Functional: GGA+U
Structure: relaxed

Calculated values
- total DFT energy (no corrections) (eV/atom) = -5.509

Cell: 3.377 8.397 9.997 Å, 105.71 90.00 101.60°
Fractional positions:
Cl 0.808 0.616 0.376
O 0.543 0.085 0.629
Cl 0.067 0.134 0.244
Cl 0.192 0.384 0.624
O 0.457 0.915 0.371
Cl 0.364 0.729 0.084
Cr 0.416 0.831 0.544
Cr 0.920 0.839 0.254
Cl 0.933 0.866 0.756
Cr 0.584 0.169 0.456
Cr 0.080 0.161 0.746
Cl 0.636 0.271 0.916

No. 3
Compound: CrClO2
Source: Alexandria via LeMat-Bulk
Functional: GGA+U
Structure: relaxed

Calculated values
- total DFT energy (no corrections) (eV/atom) = -4.517
- Fermi-level density of states (states/eV/cell) = 2.87
- relative energy among the computed polymorphs (eV per formula unit) = 4.71

Cell: 4.056 4.056 4.056 Å, 60.00 60.00 60.00°
Fractional positions:
Cr 0.500 0.500 0.500
O 0.750 0.750 0.750
O 0.250 0.250 0.250
Cl 0.000 0.000 0.000

No. 4
Compound: Cr2ClO2
Source: Alexandria via LeMat-Bulk
Functional: GGA+U
Structure: relaxed

Calculated values
- total DFT energy (no corrections) (eV/atom) = -6.885
- Fermi-level density of states (states/eV/cell) = 2.15

Cell: 3.428 3.971 6.126 Å, 108.85 73.75 90.00°
Fractional positions:
Cr 0.320 0.180 0.360
O 0.714 0.285 0.571
Cl 0.000 0.000 0.000
Cr 0.680 0.820 0.640
O 0.286 0.715 0.429

No. 5
Compound: CrClO2
Source: Alexandria via LeMat-Bulk
Functional: GGA+U
Structure: relaxed

Calculated values
- total DFT energy (no corrections) (eV/atom) = -4.507
- Fermi-level density of states (states/eV/cell) = 2.63
- relative energy among the computed polymorphs (eV per formula unit) = 4.75

Cell: 8.207 8.207 8.207 Å, 22.96 22.96 22.96°
Fractional positions:
O 0.930 0.930 0.930
O 0.070 0.070 0.070
Cr 0.000 0.000 0.000
Cl 0.500 0.500 0.500

No. 6
Compound: CrClO2
Source: Alexandria via LeMat-Bulk
Functional: GGA+U
Structure: relaxed

Calculated values
- total DFT energy (no corrections) (eV/atom) = -5.554
- Fermi-level density of states (states/eV/cell) = 34.81
- relative energy among the computed polymorphs (eV per formula unit) = 0.56

Cell: 5.767 5.767 5.765 Å, 59.99 59.99 90.00°
Fractional positions:
Cr 0.750 0.250 0.500
Cr 0.000 0.000 0.000
O 0.375 0.127 0.750
O 0.877 0.625 0.250
Cl 0.500 0.500 0.000
O 0.873 0.125 0.250
O 0.875 0.123 0.750
Cl 0.250 0.750 0.500

No. 7
Compound: Cr4ClO5
Source: Alexandria via LeMat-Bulk
Functional: GGA+U
Structure: relaxed

Calculated values
- total DFT energy (no corrections) (eV/atom) = -7.106

Cell: 5.201 9.794 6.336 Å, 90.00 90.00 90.00°
Fractional positions:
Cr 0.520 0.746 0.000
Cr 0.854 0.000 0.716
O 0.679 0.158 0.256
Cl 0.154 0.000 0.000
Cr 0.146 0.500 0.216
Cr 0.480 0.246 0.500
Cr 0.480 0.754 0.500
O 0.679 0.842 0.744
Cl 0.846 0.500 0.500
O 0.679 0.158 0.744
O 0.679 0.842 0.256
O 0.321 0.342 0.244
Cr 0.146 0.500 0.784
Cr 0.854 0.000 0.284
Cr 0.520 0.254 0.000
O 0.321 0.658 0.244
O 0.088 0.000 0.500
O 0.912 0.500 0.000
O 0.321 0.658 0.756
O 0.321 0.342 0.756

No. 8
Compound: Cr3ClO3
Source: Alexandria via LeMat-Bulk
Functional: GGA+U
Structure: relaxed

Calculated values
- total DFT energy (no corrections) (eV/atom) = -7.020

Cell: 5.774 5.918 8.008 Å, 74.67 71.97 61.26°
Fractional positions:
O 0.195 0.582 0.388
O 0.805 0.418 0.612
Cr 0.930 0.472 0.339
Cr 0.509 0.781 0.639
Cr 0.772 0.082 0.711
Cl 0.670 0.704 0.916
Cl 0.330 0.296 0.084
O 0.845 0.199 0.304
O 0.566 0.841 0.376
O 0.434 0.159 0.624
Cr 0.070 0.528 0.661
Cr 0.228 0.918 0.289
Cr 0.491 0.219 0.361
O 0.155 0.801 0.696

No. 9
Compound: CrCl2O
Source: Alexandria via LeMat-Bulk
Functional: GGA+U
Structure: relaxed

Calculated values
- total DFT energy (no corrections) (eV/atom) = -4.159
- Fermi-level density of states (states/eV/cell) = 0.00

Cell: 7.100 7.100 6.040 Å, 54.00 54.00 90.00°
Fractional positions:
Cl 0.875 0.928 0.750
Cl 0.375 0.322 0.750
O 0.500 0.500 0.000
Cl 0.072 0.625 0.250
Cr 0.750 0.250 0.500
Cl 0.678 0.125 0.250
O 0.250 0.750 0.500
Cr 0.000 0.000 0.000

No. 10
Compound: CrClO2
Source: Alexandria via LeMat-Bulk
Functional: GGA+U
Structure: relaxed

Calculated values
- total DFT energy (no corrections) (eV/atom) = -5.695
- Fermi-level density of states (states/eV/cell) = 1.13
- relative energy among the computed polymorphs (eV per formula unit) = 0.00

Cell: 9.747 9.747 9.747 Å, 17.12 17.12 17.12°
Fractional positions:
Cl 0.000 0.000 0.000
O 0.133 0.133 0.133
O 0.867 0.867 0.867
Cr 0.500 0.500 0.500

No. 11
Compound: CrP2ClO
Source: Alexandria via LeMat-Bulk
Functional: GGA+U
Structure: relaxed

Calculated values
- total DFT energy (no corrections) (eV/atom) = -3.890
- Fermi-level density of states (states/eV/cell) = 4.35
- relative energy among the computed polymorphs (eV per formula unit) = 4.69

Cell: 4.423 4.423 4.373 Å, 90.00 90.00 90.00°
Fractional positions:
P 0.000 0.500 0.000
O 0.500 0.500 0.500
Cr 0.000 0.000 0.000
Cl 0.000 0.000 0.500
P 0.500 0.000 0.000

No. 12
Compound: CrP2ClO
Source: Alexandria via LeMat-Bulk
Functional: GGA+U
Structure: relaxed

Calculated values
- total DFT energy (no corrections) (eV/atom) = -4.712
- Fermi-level density of states (states/eV/cell) = 5.23
- relative energy among the computed polymorphs (eV per formula unit) = 0.58

Cell: 4.893 4.893 3.578 Å, 90.00 90.00 90.00°
Fractional positions:
P 0.000 0.500 0.000
Cl 0.500 0.500 0.500
O 0.000 0.000 0.500
P 0.500 0.000 0.000
Cr 0.000 0.000 0.000

No. 13
Compound: CrP2ClO
Source: Alexandria via LeMat-Bulk
Functional: GGA+U
Structure: relaxed

Calculated values
- total DFT energy (no corrections) (eV/atom) = -4.828
- Fermi-level density of states (states/eV/cell) = 2.22
- relative energy among the computed polymorphs (eV per formula unit) = 0.00

Cell: 3.822 3.822 6.326 Å, 90.00 90.00 90.00°
Fractional positions:
P 0.000 0.500 0.000
P 0.500 0.000 0.000
O 0.000 0.000 0.000
Cr 0.500 0.500 0.500
Cl 0.000 0.000 0.500

No. 14
Compound: CrPCl2O
Source: Alexandria via LeMat-Bulk
Functional: GGA+U
Structure: relaxed

Calculated values
- total DFT energy (no corrections) (eV/atom) = -4.278
- Fermi-level density of states (states/eV/cell) = 2.65
- relative energy among the computed polymorphs (eV per formula unit) = 0.00

Cell: 5.549 5.549 3.343 Å, 90.00 90.00 90.00°
Fractional positions:
Cr 0.500 0.500 0.500
Cl 0.000 0.500 0.000
O 0.000 0.000 0.000
P 0.000 0.000 0.500
Cl 0.500 0.000 0.000

No. 15
Compound: CrPCl2O
Source: Alexandria via LeMat-Bulk
Functional: GGA+U
Structure: relaxed

Calculated values
- total DFT energy (no corrections) (eV/atom) = -3.298
- Fermi-level density of states (states/eV/cell) = 6.01
- relative energy among the computed polymorphs (eV per formula unit) = 4.90

Cell: 4.398 4.398 4.684 Å, 90.00 90.00 90.00°
Fractional positions:
O 0.500 0.500 0.500
Cl 0.500 0.000 0.000
P 0.000 0.000 0.500
Cr 0.000 0.000 0.000
Cl 0.000 0.500 0.000

No. 16
Compound: CrPbClO2
Source: Alexandria via LeMat-Bulk
Functional: GGA+U
Structure: relaxed

Calculated values
- total DFT energy (no corrections) (eV/atom) = -5.985

Cell: 3.982 6.939 7.492 Å, 87.01 90.00 90.00°
Fractional positions:
O 0.250 0.483 0.644
O 0.750 0.517 0.356
Pb 0.250 0.704 0.390
O 0.750 0.563 0.907
O 0.250 0.437 0.093
Cl 0.750 0.083 0.263
Cr 0.250 0.597 0.874
Pb 0.750 0.296 0.610
Cr 0.750 0.403 0.126
Cl 0.250 0.917 0.737

No. 17
Compound: CrPb6Cl6O8
Source: Alexandria via LeMat-Bulk
Functional: GGA+U
Structure: relaxed

Calculated values
- total DFT energy (no corrections) (eV/atom) = -4.787

Cell: 8.862 8.862 8.862 Å, 106.34 106.34 106.34°
Fractional positions:
Pb 0.456 0.641 0.839
Cl 0.326 0.845 0.270
O 0.713 0.596 0.495
Pb 0.359 0.161 0.544
O 0.287 0.404 0.505
Cl 0.155 0.730 0.674
Cl 0.674 0.155 0.730
Cr 0.500 0.500 0.500
Cl 0.730 0.674 0.155
O 0.061 0.061 0.061
O 0.404 0.505 0.287
Pb 0.161 0.544 0.359
Pb 0.839 0.456 0.641
Cl 0.270 0.326 0.845
Pb 0.544 0.359 0.161
O 0.505 0.287 0.404
O 0.495 0.713 0.596
Pb 0.641 0.839 0.456
O 0.939 0.939 0.939
Cl 0.845 0.270 0.326
O 0.596 0.495 0.713

No. 18
Compound: PmCrClO4
Source: Alexandria via LeMat-Bulk
Functional: GGA+U
Structure: relaxed

Calculated values
- total DFT energy (no corrections) (eV/atom) = -6.865
- Fermi-level density of states (states/eV/cell) = 0.00

Cell: 6.286 6.286 6.786 Å, 78.00 78.00 71.81°
Fractional positions:
Pm 0.224 0.224 0.882
O 0.714 0.714 0.489
Cl 0.016 0.016 0.238
O 0.526 0.526 0.233
Pm 0.776 0.776 0.118
Cl 0.984 0.984 0.762
O 0.490 0.133 0.146
O 0.286 0.286 0.511
O 0.867 0.510 0.854
O 0.474 0.474 0.767
O 0.510 0.867 0.854
O 0.133 0.490 0.146
Cr 0.639 0.639 0.733
Cr 0.361 0.361 0.267

No. 19
Compound: PrCrClO4
Source: Alexandria via LeMat-Bulk
Functional: GGA+U
Structure: relaxed

Calculated values
- total DFT energy (no corrections) (eV/atom) = -6.861
- Fermi-level density of states (states/eV/cell) = 0.00

Cell: 6.361 6.361 6.856 Å, 78.18 78.18 71.92°
Fractional positions:
O 0.525 0.525 0.235
Cl 0.017 0.017 0.238
Cl 0.983 0.983 0.762
Pr 0.225 0.225 0.879
O 0.286 0.286 0.507
O 0.475 0.475 0.765
Cr 0.361 0.361 0.265
O 0.864 0.510 0.855
O 0.136 0.490 0.145
O 0.714 0.714 0.493
Cr 0.639 0.639 0.735
O 0.510 0.864 0.855
O 0.490 0.136 0.145
Pr 0.775 0.775 0.121

No. 20
Compound: CrPtClO2
Source: Alexandria via LeMat-Bulk
Functional: GGA+U
Structure: relaxed

Calculated values
- total DFT energy (no corrections) (eV/atom) = -5.313
- Fermi-level density of states (states/eV/cell) = 4.06

Cell: 3.778 7.248 3.778 Å, 90.00 90.00 90.00°
Fractional positions:
Cr 0.500 0.500 0.500
Cl 0.000 0.500 0.000
O 0.000 0.000 0.500
O 0.500 0.000 0.000
Pt 0.000 0.000 0.000